Here is crystalline CaYCuIr at its relaxed geometry from Alexandria via LeMat-Bulk. Energies are from GGA-PBE.

Cell and atoms, written as extended XYZ:
```
4
Lattice="0.000 3.452 3.452 3.452 0.000 3.452 3.452 3.452 0.000" Properties=species:S:1:pos:R:3 pbc="T T T"
Ca 0.000 0.000 0.000
Y 3.452 3.452 3.452
Cu 1.726 1.726 1.726
Ir 5.178 5.178 5.178
```

The crystal system is cubic. The calculation puts the volume at 82.3 Å³/cell. For the formation energy, the calculation gives -1.5 eV per formula unit.

---

Here is crystalline Ca2Zn5CuIr2 at its relaxed geometry from Alexandria via LeMat-Bulk. Energies are from GGA-PBE.

Cell and atoms, written as extended XYZ:
```
20
Lattice="9.948 0.000 0.000 0.000 9.948 0.000 0.000 0.000 3.616" Properties=species:S:1:pos:R:3 pbc="T T T"
Ca 1.719 3.255 0.000
Ca 3.255 8.229 0.000
Ca 6.693 1.719 0.000
Ca 8.229 6.693 0.000
Zn 0.000 4.974 1.808
Zn 0.591 8.046 1.808
Zn 1.902 0.591 1.808
Zn 3.072 5.565 1.808
Zn 4.383 3.072 1.808
Zn 4.974 0.000 1.808
Zn 5.565 6.876 1.808
Zn 6.876 4.383 1.808
Zn 8.046 9.357 1.808
Zn 9.357 1.902 1.808
Cu 0.000 0.000 0.000
Cu 4.974 4.974 0.000
Ir 1.275 6.249 0.000
Ir 3.699 1.275 0.000
Ir 6.249 8.673 0.000
Ir 8.673 3.699 0.000
```

The crystal system is tetragonal. The calculation puts the volume at 357.8 Å³/cell. For the formation energy, the calculation gives -1.8 eV per formula unit.

---

Here is crystalline Ca2Zn5Cu2Ir at its relaxed geometry from Alexandria via LeMat-Bulk. Energies are from GGA-PBE.

Cell and atoms, written as extended XYZ:
```
20
Lattice="9.241 0.000 0.000 0.000 9.241 0.000 0.000 0.000 4.013" Properties=species:S:1:pos:R:3 pbc="T T T"
Ca 1.738 2.882 0.000
Ca 2.882 7.503 0.000
Ca 6.358 1.738 0.000
Ca 7.503 6.358 0.000
Zn 0.000 4.620 2.007
Zn 0.446 7.414 2.007
Zn 1.826 0.446 2.007
Zn 2.794 5.067 2.007
Zn 4.174 2.794 2.007
Zn 4.620 0.000 2.007
Zn 5.067 6.447 2.007
Zn 6.447 4.174 2.007
Zn 7.414 8.795 2.007
Zn 8.795 1.826 2.007
Cu 0.984 5.604 0.000
Cu 3.637 0.984 0.000
Cu 5.604 8.257 0.000
Cu 8.257 3.637 0.000
Ir 0.000 0.000 0.000
Ir 4.620 4.620 0.000
```

The crystal system is tetragonal. The calculation puts the volume at 342.7 Å³/cell. For the formation energy, the calculation gives -1.6 eV per formula unit.

---

Here is crystalline CaZn3CuIr at its relaxed geometry from Alexandria via LeMat-Bulk. Energies are from GGA-PBE.

Cell and atoms, written as extended XYZ:
```
12
Lattice="4.032 -5.373 0.000 4.032 5.373 0.000 0.000 0.000 5.544" Properties=species:S:1:pos:R:3 pbc="T T T"
Ca 4.032 3.191 4.158
Ca 4.032 -3.191 1.386
Zn 1.997 0.000 0.000
Zn 1.997 0.000 2.772
Zn 4.032 2.168 1.386
Zn 4.032 -2.168 4.158
Zn 6.067 0.000 0.000
Zn 6.067 0.000 2.772
Cu 4.032 0.212 4.158
Cu 4.032 -0.212 1.386
Ir 4.032 4.625 1.386
Ir 4.032 -4.625 4.158
```

The crystal system is orthorhombic. The calculation puts the volume at 240.2 Å³/cell. For the formation energy, the calculation gives -0.5 eV per formula unit.

---

Here is crystalline CaZrCuIr at its relaxed geometry from Alexandria via LeMat-Bulk. Energies are from GGA-PBE.

Cell and atoms, written as extended XYZ:
```
4
Lattice="0.000 3.354 3.354 3.354 0.000 3.354 3.354 3.354 0.000" Properties=species:S:1:pos:R:3 pbc="T T T"
Ca 0.000 0.000 0.000
Zr 3.354 3.354 3.354
Cu 1.677 1.677 1.677
Ir 5.032 5.032 5.032
```

The crystal system is cubic. The calculation puts the volume at 75.5 Å³/cell. For the formation energy, the calculation gives -1.2 eV per formula unit.

---

Here is crystalline K2CaCu at its relaxed geometry from Alexandria via LeMat-Bulk. Energies are from GGA-PBE.

Cell and atoms, written as extended XYZ:
```
4
Lattice="2.101 1.213 11.850 -2.101 1.213 11.850 0.000 -2.426 11.850" Properties=species:S:1:pos:R:3 pbc="T T T"
K 0.000 0.000 8.123
K 0.000 0.000 27.426
Ca 0.000 0.000 0.000
Cu 0.000 0.000 17.775
```

The crystal system is trigonal. The calculation puts the volume at 181.2 Å³/cell. For the formation energy, the calculation gives 1.4 eV per formula unit. The calculation puts the excess energy over the best structure of this formula in the dataset at 20.6 kJ/mol of atoms.

---

> Which value of volume does entry 4 give?

240.2 Å³/cell

---

> What is the formula in the sixth record?

K2CaCu